Density functional theory data (meta-GGA SCAN) for a PBEsol-optimized structure of Y2SiSe.

Cell: 4.0400 4.0400 7.1064 Å, 73.49 73.49 60.00°
Closest atoms and distances in Å follow each position.
Fractional positions:
Se1 0.0000 0.0000 0.0000  6 Y 2.92
Si1 0.5000 0.5000 0.5000  6 Y 2.83
Y1 0.2464 0.2464 0.2608  3 Si 2.83, 3 Se 2.92
Y2 0.7536 0.7536 0.7392  3 Si 2.83, 3 Se 2.92

ΔE to the lowest computed polymorph	0	kJ/mol of formula units
raw total energy	-22.94	eV per atom
magnetic moment	0.000	μB/f.u.
raw formation energy	-1.49	eV/atom



Density functional theory data (meta-GGA SCAN) for a PBEsol-optimized structure of KBaSe2S.

Cell: 5.3715 5.4770 5.4770 Å, 90.00 90.00 90.00°
Closest atoms and distances in Å follow each position.
Fractional positions:
K1 0.0000 0.0000 0.0000  2 S 2.69, 4 Se 2.74
Ba1 0.5000 0.5000 0.5000  8 Se 3.84, 4 S 3.87
Se1 0.0000 0.0000 0.5000  2 K 2.74
Se2 0.0000 0.5000 0.0000  2 K 2.74
S1 0.5000 0.0000 0.0000  2 K 2.69

raw total energy	-19.96	eV per atom
magnetic moment	3.010	μB/f.u.
raw formation energy	-0.43	eV/atom



Density functional theory data (meta-GGA SCAN) for a PBEsol-optimized structure of Li3HRh.

Cell: 3.7716 3.7716 3.7716 Å, 90.00 90.00 90.00°
Closest atoms and distances in Å follow each position.
Fractional positions:
Rh1 0.5000 0.5000 0.5000  12 Li 2.67
Li1 0.5000 0.0000 0.0000  2 H 1.89
Li2 0.0000 0.5000 0.0000  2 H 1.89
Li3 0.0000 0.0000 0.5000  2 H 1.89
H1 0.0000 0.0000 0.0000  6 Li 1.89

raw total energy	-8.91	eV per atom
magnetic moment	0.879	μB/f.u.



Density functional theory data (meta-GGA SCAN) for a PBEsol-optimized structure of TmPPd.

Cell: 3.9251 6.7233 7.6049 Å, 90.00 90.00 90.00°
Closest atoms and distances in Å follow each position.
Fractional positions:
P1 0.2500 0.2516 0.3764  4 Pd 2.50-2.69, 3 Tm 2.77-2.78
P2 0.7500 0.7484 0.6236  4 Pd 2.50-2.69, 3 Tm 2.77-2.78
P3 0.7500 0.2484 0.8764  4 Pd 2.50-2.69, 3 Tm 2.77-2.78
P4 0.2500 0.7516 0.1236  4 Pd 2.50-2.69, 3 Tm 2.77-2.78
Tm1 0.2500 0.0300 0.6858  5 P 2.77-2.85, 5 Pd 2.96-3.09
Tm2 0.7500 0.4700 0.1858  5 P 2.77-2.85, 5 Pd 2.96-3.09
Tm3 0.2500 0.5300 0.8142  5 P 2.77-2.85, 5 Pd 2.96-3.09
Tm4 0.7500 0.9700 0.3142  5 P 2.77-2.85, 5 Pd 2.96-3.09
Pd1 0.7500 0.8550 0.9389  4 P 2.50-2.69
Pd2 0.2500 0.6450 0.4389  4 P 2.50-2.69
Pd3 0.2500 0.1450 0.0611  4 P 2.50-2.69
Pd4 0.7500 0.3550 0.5611  4 P 2.50-2.69

raw total energy	-33.06	eV per atom
magnetic moment	0.000	μB/f.u.



Density functional theory data (meta-GGA SCAN) for a PBEsol-optimized structure of Sr2LaBe.

Cell: 4.9221 4.9221 5.3935 Å, 90.00 90.00 90.00°
Closest atoms and distances in Å follow each position.
Fractional positions:
Sr1 0.5000 0.0000 0.0000  4 Sr 3.48, 4 Be 3.65, 4 La 3.65
Sr2 0.0000 0.5000 0.0000  4 Sr 3.48, 4 La 3.65, 4 Be 3.65
La1 0.0000 0.0000 0.5000  4 Be 3.48, 8 Sr 3.65
Be1 0.5000 0.5000 0.5000  4 La 3.48, 8 Sr 3.65

raw total energy	-22.49	eV per atom
magnetic moment	0.003	μB/f.u.



Density functional theory data (meta-GGA SCAN) for a PBEsol-optimized structure of InReRu2.

Cell: 2.7675 2.7675 9.0812 Å, 90.00 90.00 117.71°
Closest atoms and distances in Å follow each position.
Fractional positions:
Ru1 0.0000 0.0000 0.9996  2 Re 2.56, 8 Ru 2.61-2.86
Ru2 0.5000 0.5000 0.7599  8 Ru 2.61-2.86, 2 In 2.71
Re1 0.5000 0.5000 0.2339  2 Ru 2.56, 6 Re 2.77-2.86, 2 In 2.86
In1 0.0000 0.0000 0.5065  2 Ru 2.71, 6 In 2.77-2.86, 2 Re 2.86

raw total energy	-42.95	eV per atom
magnetic moment	1.272	μB/f.u.



Density functional theory data (meta-GGA SCAN) for a PBEsol-optimized structure of Dy2TlZn.

Cell: 5.1242 5.1242 5.1242 Å, 60.00 60.00 60.00°
Closest atoms and distances in Å follow each position.
Fractional positions:
Dy1 0.7500 0.7500 0.7500  4 Tl 3.14, 4 Zn 3.14
Dy2 0.2500 0.2500 0.2500  4 Tl 3.14, 4 Zn 3.14
Tl1 0.5000 0.5000 0.5000  8 Dy 3.14
Zn1 0.0000 0.0000 0.0000  8 Dy 3.14

raw total energy	-45.85	eV per atom
magnetic moment	0.001	μB/f.u.



Density functional theory data (meta-GGA SCAN) for a PBEsol-optimized structure of TcTePO2.

Cell: 3.7468 3.7468 5.4506 Å, 90.00 90.00 90.00°
Closest atoms and distances in Å follow each position.
Fractional positions:
O1 0.5000 0.0000 0.0000  2 Tc 1.87
O2 0.0000 0.5000 0.0000  2 Tc 1.87
P1 0.0000 0.0000 0.5000  4 Te 2.65, 2 Tc 2.73
Te1 0.5000 0.5000 0.5000  4 P 2.65
Tc1 0.0000 0.0000 0.0000  4 O 1.87

raw total energy	-19.65	eV per atom
magnetic moment	0.001	μB/f.u.
raw formation energy	-0.62	eV/atom



Density functional theory data (meta-GGA SCAN) for a PBEsol-optimized structure of BaMgBe3.

Cell: 4.7939 4.7939 4.7939 Å, 90.00 90.00 90.00°
Closest atoms and distances in Å follow each position.
Fractional positions:
Be1 0.0000 0.0000 0.5000  2 Mg 2.40
Be2 0.5000 0.0000 0.0000  2 Mg 2.40
Be3 0.0000 0.5000 0.0000  2 Mg 2.40
Mg1 0.0000 0.0000 0.0000  6 Be 2.40
Ba1 0.5000 0.5000 0.5000  12 Be 3.39

raw total energy	-10.61	eV per atom
magnetic moment	0.001	μB/f.u.



Density functional theory data (meta-GGA SCAN) for a PBEsol-optimized structure of BaFeI2N.

Cell: 3.6343 5.6486 5.6486 Å, 90.00 90.00 90.00°
Closest atoms and distances in Å follow each position.
Fractional positions:
Ba1 0.5000 0.5000 0.5000  8 I 3.36, 2 Ba 3.63
I1 0.0000 0.0000 0.5000  2 Fe 2.82
I2 0.0000 0.5000 0.0000  2 Fe 2.82
N1 0.5000 0.0000 0.0000  2 Fe 1.82
Fe1 0.0000 0.0000 0.0000  2 N 1.82

raw total energy	-28.47	eV per atom
magnetic moment	1.806	μB/f.u.
raw formation energy	-0.38	eV/atom



Density functional theory data (meta-GGA SCAN) for a PBEsol-optimized structure of SrInF3.

Cell: 4.6859 4.6859 4.6859 Å, 90.00 90.00 90.00°
Closest atoms and distances in Å follow each position.
Fractional positions:
F1 0.0000 0.0000 0.5000  2 Sr 2.34
F2 0.0000 0.5000 0.0000  2 Sr 2.34
F3 0.5000 0.0000 0.0000  2 Sr 2.34
Sr1 0.0000 0.0000 0.0000  6 F 2.34
In1 0.5000 0.5000 0.5000  12 F 3.31

raw total energy	-16.23	eV per atom
magnetic moment	0.000	μB/f.u.
raw formation energy	-2.98	eV/atom



Density functional theory data (meta-GGA SCAN) for a PBEsol-optimized structure of ScGa40Mo8.

Cell: 9.4608 9.4608 9.4608 Å, 94.47 94.47 94.47°
Closest atoms and distances in Å follow each position.
Fractional positions:
Ga1 0.7268 0.8660 0.0456  2 Mo 2.58-2.63, 4 Ga 2.63-2.79, 1 Sc 2.87
Ga2 0.7793 0.0696 0.4485  2 Mo 2.57-2.58, 5 Ga 2.73-2.83
Ga3 0.1200 0.1694 0.6975  6 Ga 2.63-2.90, 2 Mo 2.64-2.66
Ga4 0.5000 0.5000 0.5000  12 Ga 2.88-2.95
Ga5 0.3856 0.7375 0.3570  2 Mo 2.61-2.62, 4 Ga 2.81-2.90
Ga6 0.4695 0.3322 0.2305  2 Mo 2.64-2.65, 6 Ga 2.77-2.89
Ga7 0.7375 0.3570 0.3856  2 Mo 2.61-2.62, 4 Ga 2.81-2.90
Ga8 0.8800 0.8306 0.3025  6 Ga 2.63-2.90, 2 Mo 2.64-2.66
Ga9 0.5000 0.0000 0.5000  2 Mo 2.52, 6 Ga 2.76-2.82
Ga10 0.0402 0.2159 0.4083  2 Mo 2.57, 5 Ga 2.77-2.86
Ga11 0.6975 0.1200 0.1694  6 Ga 2.63-2.90, 2 Mo 2.64-2.66
Ga12 0.9544 0.2732 0.1340  2 Mo 2.58-2.63, 4 Ga 2.63-2.79, 1 Sc 2.87
Ga13 0.4485 0.7793 0.0696  2 Mo 2.57-2.58, 5 Ga 2.73-2.83
Ga14 0.3322 0.2305 0.4695  2 Mo 2.64-2.65, 6 Ga 2.77-2.89
Ga15 0.3570 0.3856 0.7375  2 Mo 2.61-2.62, 4 Ga 2.81-2.90
Ga16 0.2625 0.6430 0.6144  2 Mo 2.61-2.62, 4 Ga 2.81-2.90
Ga17 0.0000 0.5000 0.5000  2 Mo 2.52, 6 Ga 2.76-2.82
Ga18 0.3025 0.8800 0.8306  6 Ga 2.63-2.90, 2 Mo 2.64-2.66
Ga19 0.2732 0.1340 0.9544  2 Mo 2.58-2.63, 4 Ga 2.63-2.79, 1 Sc 2.87
Ga20 0.8660 0.0456 0.7268  2 Mo 2.58-2.63, 4 Ga 2.63-2.79, 1 Sc 2.87
Ga21 0.0696 0.4485 0.7793  2 Mo 2.57-2.58, 5 Ga 2.73-2.83
Ga22 0.9304 0.5515 0.2207  2 Mo 2.57-2.58, 5 Ga 2.73-2.83
Ga23 0.1340 0.9544 0.2732  2 Mo 2.58-2.63, 4 Ga 2.63-2.79, 1 Sc 2.87
Ga24 0.7695 0.5305 0.6678  2 Mo 2.64-2.65, 6 Ga 2.77-2.89
Ga25 0.9598 0.7841 0.5917  2 Mo 2.57, 5 Ga 2.77-2.86
Ga26 0.0456 0.7268 0.8660  2 Mo 2.58-2.63, 4 Ga 2.63-2.79, 1 Sc 2.87
Ga27 0.6144 0.2625 0.6430  2 Mo 2.61-2.62, 4 Ga 2.81-2.90
Ga28 0.5515 0.2207 0.9304  2 Mo 2.57-2.58, 5 Ga 2.73-2.83
Ga29 0.5000 0.5000 0.0000  2 Mo 2.52, 6 Ga 2.76-2.82
Ga30 0.4083 0.0402 0.2159  2 Mo 2.57, 5 Ga 2.77-2.86
Ga31 0.2305 0.4695 0.3322  2 Mo 2.64-2.65, 6 Ga 2.77-2.89
Ga32 0.6430 0.6144 0.2625  2 Mo 2.61-2.62, 4 Ga 2.81-2.90
Ga33 0.7841 0.5917 0.9598  2 Mo 2.57, 5 Ga 2.77-2.86
Ga34 0.5917 0.9598 0.7841  2 Mo 2.57, 5 Ga 2.77-2.86
Ga35 0.2207 0.9304 0.5515  2 Mo 2.57-2.58, 5 Ga 2.73-2.83
Ga36 0.1694 0.6975 0.1200  6 Ga 2.63-2.90, 2 Mo 2.64-2.66
Ga37 0.5305 0.6678 0.7695  2 Mo 2.64-2.65, 6 Ga 2.77-2.89
Ga38 0.2159 0.4083 0.0402  2 Mo 2.57, 5 Ga 2.77-2.86
Ga39 0.8306 0.3025 0.8800  6 Ga 2.63-2.90, 2 Mo 2.64-2.66
Ga40 0.6678 0.7695 0.5305  2 Mo 2.64-2.65, 6 Ga 2.77-2.89
Mo1 0.2080 0.2080 0.2080  9 Ga 2.57-2.64
Mo2 0.8871 0.2894 0.6107  10 Ga 2.52-2.66
Mo3 0.3893 0.1129 0.7106  10 Ga 2.52-2.66
Mo4 0.7106 0.3893 0.1129  10 Ga 2.52-2.66
Mo5 0.7920 0.7920 0.7920  9 Ga 2.57-2.64
Mo6 0.2894 0.6107 0.8871  10 Ga 2.52-2.66
Mo7 0.1129 0.7106 0.3893  10 Ga 2.52-2.66
Mo8 0.6107 0.8871 0.2894  10 Ga 2.52-2.66
Sc1 0.0000 0.0000 0.0000  6 Ga 2.87, 2 Mo 3.13

raw total energy	-19.49	eV per atom
magnetic moment	0.000	μB/f.u.



Density functional theory data (meta-GGA SCAN) for a PBEsol-optimized structure of SrCaIn2.

Cell: 3.9098 3.9098 7.6983 Å, 90.00 90.00 90.00°
Closest atoms and distances in Å follow each position.
Fractional positions:
Sr1 0.5000 0.5000 0.0000  8 In 3.49, 2 Ca 3.85
Ca1 0.5000 0.5000 0.5000  8 In 3.26
In1 0.0000 0.0000 0.2763  4 Ca 3.26, 1 In 3.44, 4 Sr 3.49
In2 0.0000 0.0000 0.7237  4 Ca 3.26, 1 In 3.44, 4 Sr 3.49

ΔE to the lowest computed polymorph	0	kJ/mol of formula units
raw total energy	-25.28	eV per atom
magnetic moment	0.000	μB/f.u.



Number 1: D(E_F) 0.187 states/eV/atom. Number 2: D(E_F) 0.532 states/eV/atom. Number 3: D(E_F) 0.298 states/eV/atom. Number 4: D(E_F) 0.020 states/eV/atom. Number 5: D(E_F) 1.310 states/eV/atom. Number 6: D(E_F) 0.841 states/eV/atom. Number 7: D(E_F) 0.875 states/eV/atom. Number 8: D(E_F) 0.633 states/eV/atom. Number 9: D(E_F) 0.733 states/eV/atom. Number 10: D(E_F) 0.344 states/eV/atom. Number 11: D(E_F) 0.000 states/eV/atom. Number 12: D(E_F) 0.445 states/eV/atom. Number 13: D(E_F) 0.524 states/eV/atom.